1.
A plane-wave DFT calculation with PBE was carried out for a relaxed structure of ScZnAs4.

a b c (Å): 7.8461 7.8461 7.8461
angles (deg): 90.00 90.00 90.00
Space group F-43m (No. 216)
One atom of each set of equivalent atoms:
1 Sc 0.0000 0.0000 0.0000 [4 per cell]
2 Zn 0.2500 0.2500 0.7500 [4 per cell]
3 As 0.1241 0.1241 0.3759 [16 per cell]

Properties
ΔH_f (0 K): 0.077 eV per atom
crystal system: cubic

2.
A plane-wave DFT calculation with PBE was carried out for a relaxed structure of NbAl2RhPb.

a b c (Å): 4.9326 4.9326 5.3203
angles (deg): 90.00 90.00 90.00
Space group P4/mmm (No. 123)
One atom of each set of equivalent atoms:
1 Nb 0.0000 0.0000 0.0000 [1 per cell]
2 Al 0.0000 0.5000 0.0000 [2 per cell]
3 Rh 0.5000 0.5000 0.5000 [1 per cell]
4 Pb 0.0000 0.0000 0.5000 [1 per cell]

Properties
ΔH_f (0 K): 1.138 eV per atom
crystal system: tetragonal

3.
A plane-wave DFT calculation with PBE was carried out for a relaxed structure of NbCoRuRh.

a b c (Å): 3.7900 3.8287 3.8657
angles (deg): 90.00 90.00 90.00
Space group Pmmm (No. 47)
One atom of each set of equivalent atoms:
1 Nb 0.0000 0.0000 0.0000 [1 per cell]
2 Co 0.0000 0.5000 0.5000 [1 per cell]
3 Ru 0.5000 0.5000 0.0000 [1 per cell]
4 Rh 0.5000 0.0000 0.5000 [1 per cell]

Properties
ΔH_f (0 K): -0.253 eV per atom
crystal system: orthorhombic
excess energy over the best structure of this formula in the dataset: 0.0000 eV per atom

4.
A plane-wave DFT calculation with PBE was carried out for a relaxed structure of LaGeC.

a b c (Å): 8.0579 4.0658 7.9913
angles (deg): 90.00 108.12 90.00
Space group C2/m (No. 12)
One atom of each set of equivalent atoms:
1 La 0.0823 0.0000 0.2941 [4 per cell]
2 Ge 0.1625 0.5000 0.0127 [4 per cell]
3 C 0.0842 0.5000 0.5379 [4 per cell]

Properties
ΔH_f (0 K): -0.398 eV per atom
crystal system: monoclinic
excess energy over the best structure of this formula in the dataset: 0.0240 eV per atom

5.
A plane-wave DFT calculation with PBE was carried out for a relaxed structure of Er2ThRh2.

a b c (Å): 3.8630 26.3764 4.5678
angles (deg): 90.00 90.00 90.00
Space group Cmcm (No. 63)
One atom of each set of equivalent atoms:
1 Er 0.0000 0.0510 0.2500 [4 per cell]
2 Er 0.0000 0.2616 0.7500 [4 per cell]
3 Th 0.0000 0.3638 0.2500 [4 per cell]
4 Rh 0.0000 0.1613 0.2500 [4 per cell]
5 Rh 0.0000 0.4644 0.2500 [4 per cell]

Properties
ΔH_f (0 K): -0.703 eV per atom
crystal system: orthorhombic

6.
A plane-wave DFT calculation with PBE was carried out for a relaxed structure of Pm5DyYEr2.

a b c (Å): 5.6406 20.2016 10.7037
angles (deg): 90.00 90.00 90.00
Space group Cmc2_1 (No. 36)
One atom of each set of equivalent atoms:
1 Pm 0.0000 0.0172 0.0000 [4 per cell]
2 Pm 0.0000 0.2812 0.2917 [4 per cell]
3 Pm 0.0000 0.2985 0.6884 [4 per cell]
4 Pm 0.0000 0.3877 0.0026 [4 per cell]
5 Pm 0.0000 0.4814 0.7226 [4 per cell]
6 Dy 0.0000 0.4105 0.4402 [4 per cell]
7 Y 0.0000 0.1996 0.9917 [4 per cell]
8 Er 0.0000 0.1115 0.7187 [4 per cell]
9 Er 0.0000 0.1148 0.2944 [4 per cell]

Properties
ΔH_f (0 K): 0.146 eV per atom
crystal system: orthorhombic

7.
A plane-wave DFT calculation with PBE was carried out for a relaxed structure of Ca2MgAl3Ag12.

a b c (Å): 9.6335 9.6335 13.6068
angles (deg): 90.00 90.00 120.00
Space group R-3m (No. 166, hexagonal axes)
One atom of each set of equivalent atoms:
1 Ca 0.0000 0.0000 0.1989 [6 per cell]
2 Mg 0.0000 0.0000 0.5000 [3 per cell]
3 Al 0.0000 0.5000 0.0000 [9 per cell]
4 Ag 0.0070 0.5035 0.1952 [18 per cell]
5 Ag 0.0105 0.5053 0.6045 [18 per cell]

Properties
ΔH_f (0 K): -0.015 eV per atom
crystal system: trigonal

8.
A plane-wave DFT calculation with PBE was carried out for a relaxed structure of K2ThGeTe4.

a b c (Å): 7.8811 4.5751 8.5447
angles (deg): 90.00 107.58 90.00
Space group P2/m (No. 10)
One atom of each set of equivalent atoms:
1 K 0.0000 0.0000 0.0000 [1 per cell]
2 K 0.5000 0.5000 0.0000 [1 per cell]
3 Th 0.0000 0.5000 0.5000 [1 per cell]
4 Ge 0.5000 0.0000 0.5000 [1 per cell]
5 Te 0.2428 0.0000 0.7078 [2 per cell]
6 Te 0.2694 0.5000 0.2990 [2 per cell]

Properties
crystal system: monoclinic
E_form (uncorrected): -0.93 eV per atom

9.
A plane-wave DFT calculation with PBE was carried out for a relaxed structure of TlAg3Te2.

a b c (Å): 17.3270 4.5373 9.3467
angles (deg): 90.00 114.68 90.00
Space group C2/m (No. 12)
One atom of each set of equivalent atoms:
1 Tl 0.1323 0.0000 0.0686 [4 per cell]
2 Ag 0.0574 0.0000 0.4083 [4 per cell]
3 Ag 0.0876 0.5000 0.6348 [4 per cell]
4 Ag 0.1895 0.5000 0.4567 [4 per cell]
5 Te 0.0158 0.5000 0.2060 [4 per cell]
6 Te 0.2053 0.0000 0.7069 [4 per cell]

Properties
crystal system: monoclinic
excess energy over the best structure of this formula in the dataset: 0.0000 eV per atom
E_form (uncorrected): -0.14 eV per atom

10.
A plane-wave DFT calculation with PBE was carried out for a relaxed structure of NiTeRu2.

a b c (Å): 3.0584 3.0584 23.4918
angles (deg): 90.00 90.00 120.00
Space group R-3m (No. 166, hexagonal axes)
One atom of each set of equivalent atoms:
1 Ni 0.0000 0.0000 0.0000 [3 per cell]
2 Te 0.0000 0.0000 0.5000 [3 per cell]
3 Ru 0.0000 0.0000 0.2527 [6 per cell]

Properties
crystal system: trigonal
E_form (uncorrected): 0.59 eV per atom

11.
A plane-wave DFT calculation with PBE was carried out for a relaxed structure of Nb2TlF.

a b c (Å): 4.8641 4.8641 14.6872
angles (deg): 90.00 90.00 90.00
Space group I-42d (No. 122)
One atom of each set of equivalent atoms:
1 Nb 0.0546 0.7500 0.1250 [8 per cell]
2 Tl 0.0000 0.0000 0.5000 [4 per cell]
3 F 0.0000 0.0000 0.0000 [4 per cell]

Properties
crystal system: tetragonal
excess energy over the best structure of this formula in the dataset: 0.0682 eV per atom
E_form (uncorrected): 0.22 eV per atom

12.
A plane-wave DFT calculation with PBE was carried out for a relaxed structure of SmNiN.

a b c (Å): 3.4216 3.4216 16.4867
angles (deg): 90.00 90.00 90.00
Space group I4/mmm (No. 139)
One atom of each set of equivalent atoms:
1 Sm 0.0000 0.0000 0.1686 [4 per cell]
2 Ni 0.0000 0.5000 0.0000 [4 per cell]
3 N 0.0000 0.0000 0.3142 [4 per cell]

Properties
crystal system: tetragonal
E_form (uncorrected): -0.44 eV per atom

13.
A plane-wave DFT calculation with PBE was carried out for a relaxed structure of GaMoPt.

a b c (Å): 4.5011 2.9772 6.9424
angles (deg): 90.00 97.76 90.00
Space group P2/m (No. 10)
One atom of each set of equivalent atoms:
1 Ga 0.2056 0.0000 0.3246 [2 per cell]
2 Mo 0.0000 0.5000 0.0000 [1 per cell]
3 Mo 0.5000 0.0000 0.0000 [1 per cell]
4 Pt 0.2833 0.5000 0.6510 [2 per cell]

Properties
ΔH_f (0 K): -0.277 eV per atom
crystal system: monoclinic

14.
A plane-wave DFT calculation with PBE was carried out for a relaxed structure of LaTb5Pm2Ho.

a b c (Å): 8.7940 8.7940 15.5573
angles (deg): 90.00 90.00 90.00
Space group I4/mcm (No. 140)
One atom of each set of equivalent atoms:
1 La 0.0000 0.0000 0.2500 [4 per cell]
2 Tb 0.0000 0.0000 0.0000 [4 per cell]
3 Tb 0.2085 0.2915 0.1360 [16 per cell]
4 Pm 0.1167 0.3833 0.5000 [8 per cell]
5 Ho 0.0000 0.5000 0.2500 [4 per cell]

Properties
ΔH_f (0 K): 0.263 eV per atom
crystal system: tetragonal

15.
A plane-wave DFT calculation with PBE was carried out for a relaxed structure of GdLu2Br.

a b c (Å): 3.5959 3.5959 30.2448
angles (deg): 90.00 90.00 120.00
Space group R-3m (No. 166, hexagonal axes)
One atom of each set of equivalent atoms:
1 Gd 0.0000 0.0000 0.0000 [3 per cell]
2 Lu 0.0000 0.0000 0.2431 [6 per cell]
3 Br 0.0000 0.0000 0.5000 [3 per cell]

Properties
crystal system: trigonal
E_form (uncorrected): -0.47 eV per atom

16.
A plane-wave DFT calculation with PBE was carried out for a relaxed structure of PuBS3.

a b c (Å): 7.2757 3.4872 8.7832
angles (deg): 90.00 92.13 90.00
Space group P2_1/m (No. 11)
One atom of each set of equivalent atoms:
1 Pu 0.2290 0.2500 0.4430 [2 per cell]
2 B 0.4610 0.2500 0.8870 [2 per cell]
3 S 0.0073 0.2500 0.6772 [2 per cell]
4 S 0.3390 0.7500 0.9614 [2 per cell]
5 S 0.4952 0.7500 0.3196 [2 per cell]

Properties
crystal system: monoclinic
E_form (uncorrected): -0.83 eV per atom

17.
A plane-wave DFT calculation with PBE was carried out for a relaxed structure of Dy2InAu4.

a b c (Å): 4.8953 4.8953 23.9265
angles (deg): 90.00 90.00 120.00
Space group R-3m (No. 166, hexagonal axes)
One atom of each set of equivalent atoms:
1 Dy 0.0000 0.0000 0.2487 [6 per cell]
2 In 0.0000 0.0000 0.0000 [3 per cell]
3 Au 0.0000 0.0000 0.1265 [6 per cell]
4 Au 0.0000 0.0000 0.3765 [6 per cell]

Properties
ΔH_f (0 K): -0.602 eV per atom
crystal system: trigonal

18.
A plane-wave DFT calculation with PBE was carried out for a relaxed structure of CuSb2Ir.

a b c (Å): 3.2407 4.0347 12.4362
angles (deg): 90.00 90.00 90.00
Space group Imm2 (No. 44)
One atom of each set of equivalent atoms:
1 Cu 0.0000 0.0000 0.0000 [2 per cell]
2 Sb 0.0000 0.0000 0.3930 [2 per cell]
3 Sb 0.0000 0.5000 0.1501 [2 per cell]
4 Ir 0.0000 0.5000 0.7170 [2 per cell]

Properties
crystal system: orthorhombic
excess energy over the best structure of this formula in the dataset: 0.1495 eV per atom
E_form (uncorrected): 0.18 eV per atom

19.
A plane-wave DFT calculation with PBE was carried out for a relaxed structure of NdDy2Y5Tm.

a b c (Å): 8.9605 8.9605 14.7401
angles (deg): 90.00 90.00 90.00
Space group I4/mcm (No. 140)
One atom of each set of equivalent atoms:
1 Nd 0.0000 0.0000 0.2500 [4 per cell]
2 Dy 0.1123 0.3877 0.0000 [8 per cell]
3 Y 0.0000 0.0000 0.0000 [4 per cell]
4 Y 0.2050 0.2950 0.3676 [16 per cell]
5 Tm 0.0000 0.5000 0.2500 [4 per cell]

Properties
ΔH_f (0 K): 0.280 eV per atom
crystal system: tetragonal

20.
A plane-wave DFT calculation with PBE was carried out for a relaxed structure of Be2Ni2Pd.

a b c (Å): 6.2213 6.2213 2.6768
angles (deg): 90.00 90.00 90.00
Space group P4/mbm (No. 127)
One atom of each set of equivalent atoms:
1 Be 0.1349 0.3651 0.0000 [4 per cell]
2 Ni 0.1553 0.6553 0.5000 [4 per cell]
3 Pd 0.0000 0.0000 0.0000 [2 per cell]

Properties
ΔH_f (0 K): -0.335 eV per atom
crystal system: tetragonal
excess energy over the best structure of this formula in the dataset: 0.0000 eV per atom

21.
A plane-wave DFT calculation with PBE was carried out for a relaxed structure of CeDyHg4.

a b c (Å): 8.4760 8.4760 8.4760
angles (deg): 90.00 90.00 90.00
Space group F-43m (No. 216)
One atom of each set of equivalent atoms:
1 Ce 0.0000 0.0000 0.0000 [4 per cell]
2 Dy 0.2500 0.2500 0.7500 [4 per cell]
3 Hg 0.1250 0.1250 0.3750 [16 per cell]

Properties
ΔH_f (0 K): -0.187 eV per atom
crystal system: cubic
excess energy over the best structure of this formula in the dataset: 0.1715 eV per atom

22.
A plane-wave DFT calculation with PBE was carried out for a relaxed structure of NaNbCl3.

a b c (Å): 5.1397 5.1397 5.1397
angles (deg): 90.00 90.00 90.00
Space group Pm-3m (No. 221)
One atom of each set of equivalent atoms:
1 Na 0.0000 0.0000 0.0000 [1 per cell]
2 Nb 0.5000 0.5000 0.5000 [1 per cell]
3 Cl 0.0000 0.5000 0.5000 [3 per cell]

Properties
crystal system: cubic
excess energy over the best structure of this formula in the dataset: 0.3627 eV per atom
E_form (uncorrected): -0.94 eV per atom

23.
A plane-wave DFT calculation with PBE was carried out for a relaxed structure of Ge3Mo2.

a b c (Å): 8.7356 3.2349 6.6703
angles (deg): 90.00 123.90 90.00
Space group C2/m (No. 12)
One atom of each set of equivalent atoms:
1 Ge 0.0000 0.0000 0.0000 [2 per cell]
2 Ge 0.0999 0.5000 0.3983 [4 per cell]
3 Mo 0.1872 0.0000 0.7839 [4 per cell]

Properties
ΔH_f (0 K): 0.016 eV per atom
crystal system: monoclinic
excess energy over the best structure of this formula in the dataset: 0.0000 eV per atom